First-principles (GGA-PBE) data for a relaxed AgHgPt2 crystal, as listed in Alexandria via LeMat-Bulk.

As for the space group: No. 139. The formation energy comes out at 0.03 eV/atom.

Cell lengths 4.995, 4.995, 4.995 Å; angles 131.12, 131.12, 71.62 degrees
Element x y z (fractional)
Hg 0.750 0.250 0.500
Pt 0.000 0.000 0.000
Pt 0.500 0.500 0.000
Ag 0.250 0.750 0.500

=====

First-principles (GGA-PBE) data for a relaxed MgMo2Os crystal, as listed in Alexandria via LeMat-Bulk.

As for the space group: No. 44. The formation energy comes out at 0.21 eV/atom.

Cell lengths 5.230, 5.230, 4.553 Å; angles 64.17, 64.17, 34.69 degrees
Element x y z (fractional)
Mg 0.247 0.247 0.253
Mo 0.749 0.749 0.751
Mo 0.016 0.016 0.984
Os 0.488 0.488 0.512

=====

Question: Number 2 is which compound?
Answer: MgMo2Os

=====

Question: Which formula does entry 2 have?
Answer: MgMo2Os